Tl2Cd4In PBE optimized geometry; DFT total energy = -1.55 eV/atom; ΔH_f (0 K) = 0.036 eV per atom; DOS at the Fermi energy = 3.70 states/eV per cell; calculated density = 8.8 Mg/m³; total magnetic moment = 0.0 μB/cell; energy relative to the lowest polymorph listed for this composition = 0 meV/atom; space group = No. 65
1.0
1.654 -16.822 0.000
1.654 16.822 0.000
0.000 0.000 3.288
Tl Cd In
2 4 1
Direct
0.204 0.796 0.000
0.796 0.204 0.000
0.070 0.930 0.000
0.368 0.632 0.500
0.632 0.368 0.500
0.930 0.070 0.000
0.500 0.500 0.500

---

Hf2BeZn3 PBE optimized geometry; DFT total energy = -4.77 eV/atom; ΔH_f (0 K) = -0.192 eV per atom; DOS at the Fermi energy = 3.12 states/eV per cell; calculated density = 9.7 Mg/m³; total magnetic moment = 0.0 μB/cell; energy relative to the lowest polymorph listed for this composition = 0 meV/atom; space group = No. 25
1.0
3.165 0.000 0.000
0.000 4.170 0.000
0.000 0.000 7.276
Hf Be Zn
2 1 3
Direct
0.000 0.000 0.000
0.000 0.500 0.473
0.500 0.000 0.320
0.500 0.000 0.641
0.500 0.500 0.160
0.500 0.500 0.818

---

Ac2PmPb PBE optimized geometry; DFT total energy = -4.43 eV/atom; ΔH_f (0 K) = -0.258 eV per atom; DOS at the Fermi energy = 5.61 states/eV per cell; calculated density = 9.3 Mg/m³; total magnetic moment = 0.0 μB/cell; energy relative to the lowest polymorph listed for this composition = 0 meV/atom; space group = No. 123
1.0
5.259 0.000 0.000
0.000 5.259 0.000
0.000 0.000 5.189
Ac Pm Pb
2 1 1
Direct
0.000 0.500 0.000
0.500 0.000 0.000
0.000 0.000 0.500
0.500 0.500 0.500

---

NbGe2Mo PBE optimized geometry; DFT total energy = -7.50 eV/atom; ΔH_f (0 K) = 0.034 eV per atom; DOS at the Fermi energy = 2.81 states/eV per cell; calculated density = 8.4 Mg/m³; total magnetic moment = 0.0 μB/cell; energy relative to the lowest polymorph listed for this composition = 58 meV/atom; space group = No. 166
1.0
1.506 0.870 8.425
-1.506 0.870 8.425
0.000 -1.739 8.425
Nb Ge Mo
1 2 1
Direct
0.000 0.000 0.000
0.246 0.246 0.246
0.754 0.754 0.754
0.500 0.500 0.500

---

Computed values of calculated volume (unit: Å³/cell) for the preceding records, in sequence: 183, 96, 144, 66.